(1)
Entry from Alexandria: La3TbPr6 after structural relaxation (PBE-GGA).

Structure (CIF):
```
data_La3TbPr6
_space_group_name_H-M_alt 'C 1 2/m 1'
_space_group_IT_number 12
_space_group_name_Hall '-C 2y'
_cell_length_a 11.651
_cell_length_b 7.211
_cell_length_c 9.051
_cell_angle_alpha 90.00
_cell_angle_beta 104.61
_cell_angle_gamma 90.00
loop_
_atom_site_label
_atom_site_type_symbol
_atom_site_fract_x
_atom_site_fract_y
_atom_site_fract_z
La1 La 0.000 0.000 0.000
La2 La 0.037 0.500 0.842
Tb1 Tb 0.000 0.000 0.500
Pr1 Pr 0.164 0.500 0.491
Pr2 Pr 0.246 0.224 0.808
```

Properties
- E: -4.568 eV/atom
- Formation energy: 232 kJ/mol of formula units
- N(E_F): 17.20 states/eV/f.u.


(2)
Entry from Alexandria: La12Tb6Pr after structural relaxation (PBE-GGA).

Structure (CIF):
```
data_La12Tb6Pr
_space_group_name_H-M_alt 'R -3'
_space_group_IT_number 148
_space_group_name_Hall '-R 3'
_cell_length_a 15.0495
_cell_length_b 15.0495
_cell_length_c 10.5125
_cell_angle_alpha 90.00
_cell_angle_beta 90.00
_cell_angle_gamma 120.00
loop_
_atom_site_label
_atom_site_type_symbol
_atom_site_fract_x
_atom_site_fract_y
_atom_site_fract_z
La1 La 0.0493 0.2572 0.0785
La2 La 0.0637 0.2221 0.4191
Tb1 Tb 0.0496 0.2103 0.7588
Pr1 Pr 0.0000 0.0000 0.0000
```

Properties
- E: -4.612 eV/atom
- Formation energy: 393 kJ/mol of formula units
- N(E_F): 32.72 states/eV/f.u.


(3)
Entry from Alexandria: LaTb4Pr7 after structural relaxation (PBE-GGA).

Structure (CIF):
```
data_LaTb4Pr7
_space_group_name_H-M_alt 'P -1'
_space_group_IT_number 2
_space_group_name_Hall '-P 1'
_cell_length_a 6.409
_cell_length_b 7.400
_cell_length_c 9.111
_cell_angle_alpha 90.01
_cell_angle_beta 103.54
_cell_angle_gamma 90.02
loop_
_atom_site_label
_atom_site_type_symbol
_atom_site_fract_x
_atom_site_fract_y
_atom_site_fract_z
La1 La 0.000 0.000 0.000
Tb1 Tb 0.218 0.500 0.665
Tb2 Tb 0.277 0.745 0.334
Pr1 Pr 0.000 0.500 0.000
Pr2 Pr 0.223 0.000 0.665
Pr3 Pr 0.280 0.253 0.336
Pr4 Pr 0.500 0.253 0.998
```

Properties
- E: -4.737 eV/atom
- Formation energy: 5 kJ/mol of formula units
- N(E_F): 16.50 states/eV/f.u.


(4)
Entry from Alexandria: LaTb4Pr4 after structural relaxation (PBE-GGA).

Structure (CIF):
```
data_LaTb4Pr4
_space_group_name_H-M_alt 'I 4/m m m'
_space_group_IT_number 139
_space_group_name_Hall '-I 4 2'
_cell_length_a 10.959
_cell_length_b 10.959
_cell_length_c 5.160
_cell_angle_alpha 90.00
_cell_angle_beta 90.00
_cell_angle_gamma 90.00
loop_
_atom_site_label
_atom_site_type_symbol
_atom_site_fract_x
_atom_site_fract_y
_atom_site_fract_z
La1 La 0.000 0.000 0.000
Tb1 Tb 0.167 0.167 0.500
Pr1 Pr 0.000 0.331 0.000
```

Properties
- E: -4.711 eV/atom
- Formation energy: 16 kJ/mol of formula units
- N(E_F): 13.33 states/eV/f.u.


(5)
Entry from Alexandria: La6Tb5Pr after structural relaxation (PBE-GGA).

Structure (CIF):
```
data_La6Tb5Pr
_space_group_name_H-M_alt 'I m m m'
_space_group_IT_number 71
_space_group_name_Hall '-I 2 2'
_cell_length_a 5.239
_cell_length_b 10.152
_cell_length_c 15.721
_cell_angle_alpha 90.00
_cell_angle_beta 90.00
_cell_angle_gamma 90.00
loop_
_atom_site_label
_atom_site_type_symbol
_atom_site_fract_x
_atom_site_fract_y
_atom_site_fract_z
La1 La 0.000 0.248 0.000
La2 La 0.000 0.251 0.333
Tb1 Tb 0.000 0.000 0.167
Tb2 Tb 0.000 0.500 0.167
Tb3 Tb 0.000 0.500 0.500
Pr1 Pr 0.000 0.000 0.500
```

Properties
- E: -4.771 eV/atom
- Formation energy: 23 kJ/mol of formula units
- N(E_F): 18.88 states/eV/f.u.


(6)
Entry from Alexandria: La4Tb2Pr after structural relaxation (PBE-GGA).

Structure (CIF):
```
data_La4Tb2Pr
_space_group_name_H-M_alt 'I m m a'
_space_group_IT_number 74
_space_group_name_Hall '-I 2b 2'
_cell_length_a 6.998
_cell_length_b 11.695
_cell_length_c 12.261
_cell_angle_alpha 90.00
_cell_angle_beta 90.00
_cell_angle_gamma 90.00
loop_
_atom_site_label
_atom_site_type_symbol
_atom_site_fract_x
_atom_site_fract_y
_atom_site_fract_z
La1 La 0.000 0.002 0.150
La2 La 0.219 0.250 0.007
Tb1 Tb 0.000 0.000 0.500
Tb2 Tb 0.000 0.250 0.283
Pr1 Pr 0.250 0.250 0.750
```

Properties
- E: -4.606 eV/atom
- Formation energy: 145 kJ/mol of formula units
- N(E_F): 11.64 states/eV/f.u.


(7)
Entry from Alexandria: LaTb3Pr7 after structural relaxation (PBE-GGA).

Structure (CIF):
```
data_LaTb3Pr7
_space_group_name_H-M_alt 'I m m m'
_space_group_IT_number 71
_space_group_name_Hall '-I 2 2'
_cell_length_a 6.018
_cell_length_b 11.429
_cell_length_c 11.552
_cell_angle_alpha 90.00
_cell_angle_beta 90.00
_cell_angle_gamma 90.00
loop_
_atom_site_label
_atom_site_type_symbol
_atom_site_fract_x
_atom_site_fract_y
_atom_site_fract_z
La1 La 0.000 0.000 0.000
Tb1 Tb 0.000 0.000 0.500
Tb2 Tb 0.000 0.500 0.204
Pr1 Pr 0.000 0.200 0.297
Pr2 Pr 0.000 0.292 0.000
Pr3 Pr 0.000 0.500 0.500
```

Properties
- E: -4.548 eV/atom
- Formation energy: 217 kJ/mol of formula units
- N(E_F): 15.52 states/eV/f.u.


(8)
Entry from Alexandria: La5Tb3Pr4 after structural relaxation (PBE-GGA).

Structure (CIF):
```
data_La5Tb3Pr4
_space_group_name_H-M_alt 'C 1 2/m 1'
_space_group_IT_number 12
_space_group_name_Hall '-C 2y'
_cell_length_a 18.632
_cell_length_b 5.871
_cell_length_c 9.055
_cell_angle_alpha 90.00
_cell_angle_beta 118.71
_cell_angle_gamma 90.00
loop_
_atom_site_label
_atom_site_type_symbol
_atom_site_fract_x
_atom_site_fract_y
_atom_site_fract_z
La1 La 0.000 0.000 0.000
La2 La 0.107 0.500 0.429
La3 La 0.169 0.500 0.910
Tb1 Tb 0.000 0.500 0.000
Tb2 Tb 0.182 0.000 0.225
Pr1 Pr 0.032 0.000 0.707
Pr2 Pr 0.199 0.000 0.647
```

Properties
- E: -4.583 eV/atom
- Formation energy: 256 kJ/mol of formula units
- N(E_F): 19.05 states/eV/f.u.